# 1
The following is a DFT calculation (GGA-PBE) of crystalline LiIrAu at its relaxed geometry.

Cell lengths 2.7424, 2.7424, 7.0118 Å; angles 90.00, 90.00, 120.00 degrees
Space group P3m1 (No. 156)
Inequivalent atoms, fractional coordinates:
Li1 0.0000 0.0000 0.0000 (multiplicity 1)
Ir1 0.3333 0.6667 0.6949 (multiplicity 1)
Au1 0.6667 0.3333 0.3232 (multiplicity 1)

Properties
**Uncorrected energy**: -4.73 eV/atom
**Density of states at the Fermi level**: 2.96 states/eV/f.u.
**Relative energy among the computed polymorphs**: 0 meV per atom

=====

# 2
The following is a DFT calculation (GGA-PBE) of crystalline LiLuIrAu at its relaxed geometry.

Cell lengths 6.562, 6.562, 6.562 Å; angles 90.00, 90.00, 90.00 degrees
Space group F-43m (No. 216)
Inequivalent atoms, fractional coordinates:
Li1 0.000 0.000 0.000 (multiplicity 4)
Lu1 0.000 0.000 0.500 (multiplicity 4)
Ir1 0.250 0.250 0.750 (multiplicity 4)
Au1 0.250 0.250 0.250 (multiplicity 4)

Properties
**Uncorrected energy**: -5.22 eV/atom
**Density of states at the Fermi level**: 0.20 states/eV/f.u.

=====

# 3
The following is a DFT calculation (GGA-PBE) of crystalline LiMnIrAu2 at its relaxed geometry.

Cell lengths 4.342, 4.342, 4.309 Å; angles 90.00, 90.00, 90.00 degrees
Space group P4/mmm (No. 123)
Inequivalent atoms, fractional coordinates:
Li1 0.000 0.000 0.000 (multiplicity 1)
Mn1 0.500 0.500 0.500 (multiplicity 1)
Ir1 0.000 0.000 0.500 (multiplicity 1)
Au1 0.000 0.500 0.000 (multiplicity 2)

Properties
**Uncorrected energy**: -4.79 eV/atom
**Density of states at the Fermi level**: 0.74 states/eV/f.u.

=====

# 4
The following is a DFT calculation (GGA-PBE) of crystalline Li5IrAuN2 at its relaxed geometry.

Cell lengths 4.189, 4.189, 7.626 Å; angles 90.00, 90.00, 90.00 degrees
Space group P4/mmm (No. 123)
Inequivalent atoms, fractional coordinates:
Li1 0.000 0.000 0.000 (multiplicity 1)
Li2 0.000 0.500 0.268 (multiplicity 4)
Ir1 0.000 0.000 0.500 (multiplicity 1)
Au1 0.500 0.500 0.000 (multiplicity 1)
N1 0.000 0.000 0.259 (multiplicity 2)

Properties
**Uncorrected energy**: -4.59 eV/atom
**E_form (uncorrected)**: -0.33 eV/atom
**Density of states at the Fermi level**: 3.43 states/eV/f.u.

=====

# 5
The following is a DFT calculation (GGA-PBE) of crystalline LiPaIrAu at its relaxed geometry.

Cell lengths 6.743, 6.743, 6.743 Å; angles 90.00, 90.00, 90.00 degrees
Space group F-43m (No. 216)
Inequivalent atoms, fractional coordinates:
Li1 0.000 0.000 0.000 (multiplicity 4)
Pa1 0.000 0.000 0.500 (multiplicity 4)
Ir1 0.250 0.250 0.750 (multiplicity 4)
Au1 0.250 0.250 0.250 (multiplicity 4)

Properties
**Uncorrected energy**: -6.29 eV/atom
**Density of states at the Fermi level**: 5.75 states/eV/f.u.

=====

# 6
The following is a DFT calculation (GGA-PBE) of crystalline LiSbIrAu at its relaxed geometry.

Cell lengths 6.480, 6.480, 6.480 Å; angles 90.00, 90.00, 90.00 degrees
Space group F-43m (No. 216)
Inequivalent atoms, fractional coordinates:
Li1 0.000 0.000 0.000 (multiplicity 4)
Sb1 0.250 0.250 0.750 (multiplicity 4)
Ir1 0.000 0.000 0.500 (multiplicity 4)
Au1 0.250 0.250 0.250 (multiplicity 4)

Properties
**Uncorrected energy**: -4.72 eV/atom
**E_form (uncorrected)**: -0.17 eV/atom
**Density of states at the Fermi level**: 2.53 states/eV/f.u.

=====

# 7
The following is a DFT calculation (GGA-PBE) of crystalline LiScIrAu at its relaxed geometry.

Cell lengths 6.385, 6.385, 6.385 Å; angles 90.00, 90.00, 90.00 degrees
Space group F-43m (No. 216)
Inequivalent atoms, fractional coordinates:
Li1 0.000 0.000 0.000 (multiplicity 4)
Sc1 0.000 0.000 0.500 (multiplicity 4)
Ir1 0.250 0.250 0.250 (multiplicity 4)
Au1 0.250 0.250 0.750 (multiplicity 4)

Properties
**Uncorrected energy**: -5.68 eV/atom
**Density of states at the Fermi level**: 1.17 states/eV/f.u.

=====

# 8
The following is a DFT calculation (GGA-PBE) of crystalline LiSiIrAu2 at its relaxed geometry.

Cell lengths 4.346, 4.346, 4.371 Å; angles 90.00, 90.00, 90.00 degrees
Space group P4/mmm (No. 123)
Inequivalent atoms, fractional coordinates:
Li1 0.000 0.000 0.000 (multiplicity 1)
Si1 0.500 0.500 0.500 (multiplicity 1)
Ir1 0.000 0.000 0.500 (multiplicity 1)
Au1 0.000 0.500 0.000 (multiplicity 2)

Properties
**Uncorrected energy**: -3.80 eV/atom
**E_form (uncorrected)**: 0.76 eV/atom
**Density of states at the Fermi level**: 4.27 states/eV/f.u.